10
Lattice="-3.840 2.984 -0.453 -0.597 -1.852 4.480 2.821 4.347 2.413" Properties=species:S:1:pos:R:3 comment="PBE Mg4H3Ir3, relaxed" relative_energy_mev_per_atom=110 spacegroup="Cm (8)" total_energy_ev_per_cell=-45.6 m_tot_mub_per_cell=0.000 pbc="T T T"
Mg -1.924 1.328 2.781
Mg -0.601 -0.640 4.787
Mg -1.401 4.013 3.943
Mg 1.137 2.968 2.417
Ir -0.031 5.915 2.539
Ir -1.184 3.720 1.143
Ir 0.725 2.951 5.039
H -2.699 2.919 1.349
H 0.512 1.711 3.963
H 2.301 3.213 4.256